This record from Alexandria via LeMat-Bulk describes a relaxed Ta3PbAu crystal. The functional is PBE. Values from VASP.

ΔE_f = 1.552 eV/atom

Cell and atoms, written as Quantum ESPRESSO input:
```
&SYSTEM
  ibrav = 0, nat = 5, ntyp = 3
/
ATOMIC_SPECIES
Ta 180.95 Ta.upf
Pb 207.20 Pb.upf
Au 196.97 Au.upf
CELL_PARAMETERS angstrom
4.990 0.000 0.000
0.000 4.990 0.000
0.000 0.000 4.990
ATOMIC_POSITIONS crystal
Ta 0.000 0.000 0.500
Ta 0.000 0.500 0.000
Ta 0.500 0.000 0.000
Pb 0.500 0.500 0.500
Au 0.000 0.000 0.000
```


This record from Alexandria via LeMat-Bulk describes a relaxed AcTb3Nd crystal. The functional is PBE. Values from VASP.

ΔE_f = 0.084 eV/atom

Cell and atoms, written as Quantum ESPRESSO input:
```
&SYSTEM
  ibrav = 0, nat = 20, ntyp = 3
/
ATOMIC_SPECIES
Ac 227.00 Ac.upf
Tb 158.93 Tb.upf
Nd 144.24 Nd.upf
CELL_PARAMETERS angstrom
10.351 -5.060 0.000
10.351 5.060 0.000
-0.455 0.000 6.741
ATOMIC_POSITIONS crystal
Ac 0.109 0.891 0.750
Ac 0.252 0.748 0.250
Ac 0.748 0.252 0.750
Ac 0.891 0.109 0.250
Tb 0.047 0.238 0.597
Tb 0.090 0.582 0.922
Tb 0.238 0.047 0.097
Tb 0.370 0.479 0.605
Tb 0.418 0.910 0.578
Tb 0.479 0.370 0.105
Tb 0.521 0.630 0.895
Tb 0.582 0.090 0.422
Tb 0.630 0.521 0.395
Tb 0.762 0.953 0.903
Tb 0.910 0.418 0.078
Tb 0.953 0.762 0.403
Nd 0.204 0.355 0.345
Nd 0.355 0.204 0.845
Nd 0.645 0.796 0.155
Nd 0.796 0.645 0.655
```


This record from Alexandria via LeMat-Bulk describes a relaxed MgReRh crystal. The functional is PBE. Values from VASP.

ΔE_f = -0.145 eV/atom

Cell and atoms, written as Quantum ESPRESSO input:
```
&SYSTEM
  ibrav = 0, nat = 6, ntyp = 3
/
ATOMIC_SPECIES
Mg 24.30 Mg.upf
Re 186.21 Re.upf
Rh 102.91 Rh.upf
CELL_PARAMETERS angstrom
1.529 -6.902 0.000
1.529 6.902 0.000
0.000 0.000 4.338
ATOMIC_POSITIONS crystal
Mg 0.074 0.926 0.750
Mg 0.926 0.074 0.250
Re 0.250 0.750 0.250
Re 0.750 0.250 0.750
Rh 0.404 0.596 0.750
Rh 0.596 0.404 0.250
```


This record from Alexandria via LeMat-Bulk describes a relaxed BeAgBr2 crystal. The functional is PBE. Values from VASP.

Formation energy (no corrections) = 0.216 eV per atom

Cell and atoms, written as Quantum ESPRESSO input:
```
&SYSTEM
  ibrav = 0, nat = 4, ntyp = 3
/
ATOMIC_SPECIES
Be 9.01 Be.upf
Ag 107.87 Ag.upf
Br 79.90 Br.upf
CELL_PARAMETERS angstrom
3.405 0.000 0.000
0.000 3.405 0.000
0.000 0.000 7.942
ATOMIC_POSITIONS crystal
Be 0.000 0.000 0.000
Ag 0.500 0.500 0.778
Br 0.000 0.000 0.583
Br 0.500 0.500 0.139
```


This record from Alexandria via LeMat-Bulk describes a relaxed Si2HgPbN crystal. The functional is PBE. Values from VASP.

Formation energy (no corrections) = 0.780 eV per atom

Cell and atoms, written as Quantum ESPRESSO input:
```
&SYSTEM
  ibrav = 0, nat = 5, ntyp = 4
/
ATOMIC_SPECIES
Si 28.09 Si.upf
Hg 200.59 Hg.upf
Pb 207.20 Pb.upf
N 14.01 N.upf
CELL_PARAMETERS angstrom
4.124 0.000 0.000
0.000 4.124 0.000
0.000 0.000 5.861
ATOMIC_POSITIONS crystal
Si 0.000 0.500 0.000
Si 0.500 0.000 0.000
Hg 0.000 0.000 0.500
Pb 0.500 0.500 0.500
N 0.000 0.000 0.000
```


This record from Alexandria via LeMat-Bulk describes a relaxed ZrAs2WBr crystal. The functional is PBE. Values from VASP.

Formation energy (no corrections) = 1.042 eV per atom

Cell and atoms, written as Quantum ESPRESSO input:
```
&SYSTEM
  ibrav = 0, nat = 5, ntyp = 4
/
ATOMIC_SPECIES
Zr 91.22 Zr.upf
As 74.92 As.upf
W 183.84 W.upf
Br 79.90 Br.upf
CELL_PARAMETERS angstrom
5.245 0.000 0.000
0.000 5.245 0.000
0.000 0.000 5.083
ATOMIC_POSITIONS crystal
Zr 0.000 0.000 0.000
As 0.000 0.500 0.000
As 0.500 0.000 0.000
W 0.500 0.500 0.500
Br 0.000 0.000 0.500
```


This record from Alexandria via LeMat-Bulk describes a relaxed Nd2B3Rh6 crystal. The functional is PBE. Values from VASP.

ΔE_f = -0.344 eV/atom

Cell and atoms, written as Quantum ESPRESSO input:
```
&SYSTEM
  ibrav = 0, nat = 11, ntyp = 3
/
ATOMIC_SPECIES
Nd 144.24 Nd.upf
B 10.81 B.upf
Rh 102.91 Rh.upf
CELL_PARAMETERS angstrom
7.280 0.000 0.000
-3.640 6.305 0.000
0.000 0.000 3.631
ATOMIC_POSITIONS crystal
Nd 0.333 0.667 0.000
Nd 0.667 0.333 0.000
B 0.000 0.371 0.500
B 0.371 0.000 0.500
B 0.629 0.629 0.500
Rh 0.000 0.221 0.000
Rh 0.000 0.677 0.500
Rh 0.221 0.000 0.000
Rh 0.323 0.323 0.500
Rh 0.677 0.000 0.500
Rh 0.779 0.779 0.000
```


This record from Alexandria via LeMat-Bulk describes a relaxed Hg2BiSe crystal. The functional is PBE. Values from VASP.

Formation energy (no corrections) = 0.127 eV per atom

Cell and atoms, written as Quantum ESPRESSO input:
```
&SYSTEM
  ibrav = 0, nat = 4, ntyp = 3
/
ATOMIC_SPECIES
Hg 200.59 Hg.upf
Bi 208.98 Bi.upf
Se 78.96 Se.upf
CELL_PARAMETERS angstrom
1.951 1.127 9.373
-1.951 1.127 9.373
0.000 -2.253 9.373
ATOMIC_POSITIONS crystal
Hg 0.105 0.105 0.105
Hg 0.895 0.895 0.895
Bi 0.000 0.000 0.000
Se 0.500 0.500 0.500
```


This record from Alexandria via LeMat-Bulk describes a relaxed Ca3OF3 crystal. The functional is PBE. Values from VASP.

Formation energy (no corrections) = -3.114 eV per atom

Cell and atoms, written as Quantum ESPRESSO input:
```
&SYSTEM
  ibrav = 0, nat = 7, ntyp = 3
/
ATOMIC_SPECIES
Ca 40.08 Ca.upf
O 16.00 O.upf
F 19.00 F.upf
CELL_PARAMETERS angstrom
4.806 0.000 0.000
0.000 4.806 0.000
0.000 0.000 4.806
ATOMIC_POSITIONS crystal
Ca 0.000 0.000 0.500
Ca 0.000 0.500 0.000
Ca 0.500 0.000 0.000
O 0.000 0.000 0.000
F 0.000 0.500 0.500
F 0.500 0.000 0.500
F 0.500 0.500 0.000
```


This record from Alexandria via LeMat-Bulk describes a relaxed Rb3Er2HfTe6 crystal. The functional is PBE. Values from VASP.

Formation energy (no corrections) = -1.178 eV per atom

Cell and atoms, written as Quantum ESPRESSO input:
```
&SYSTEM
  ibrav = 0, nat = 12, ntyp = 4
/
ATOMIC_SPECIES
Rb 85.47 Rb.upf
Er 167.26 Er.upf
Hf 178.49 Hf.upf
Te 127.60 Te.upf
CELL_PARAMETERS angstrom
3.801 -6.583 0.000
3.801 6.583 0.000
-2.537 0.000 8.577
ATOMIC_POSITIONS crystal
Rb 0.000 0.000 0.000
Rb 0.329 0.671 0.000
Rb 0.671 0.329 0.000
Er 0.166 0.834 0.500
Er 0.834 0.166 0.500
Hf 0.500 0.500 0.500
Te 0.114 0.435 0.304
Te 0.246 0.246 0.698
Te 0.435 0.114 0.304
Te 0.565 0.886 0.696
Te 0.754 0.754 0.302
Te 0.886 0.565 0.696
```


This record from Alexandria via LeMat-Bulk describes a relaxed ScNiB crystal. The functional is PBE. Values from VASP.

ΔE_f = -0.512 eV/atom

Cell and atoms, written as Quantum ESPRESSO input:
```
&SYSTEM
  ibrav = 0, nat = 6, ntyp = 3
/
ATOMIC_SPECIES
Sc 44.96 Sc.upf
Ni 58.69 Ni.upf
B 10.81 B.upf
CELL_PARAMETERS angstrom
1.714 -6.864 0.000
1.714 6.864 0.000
0.000 0.000 3.112
ATOMIC_POSITIONS crystal
Sc 0.105 0.895 0.750
Sc 0.895 0.105 0.250
Ni 0.300 0.700 0.750
Ni 0.700 0.300 0.250
B 0.471 0.529 0.750
B 0.529 0.471 0.250
```


This record from Alexandria via LeMat-Bulk describes a relaxed SrIrAu2I crystal. The functional is PBE. Values from VASP.

Formation energy (no corrections) = 1.289 eV per atom

Cell and atoms, written as Quantum ESPRESSO input:
```
&SYSTEM
  ibrav = 0, nat = 5, ntyp = 4
/
ATOMIC_SPECIES
Sr 87.62 Sr.upf
Ir 192.22 Ir.upf
Au 196.97 Au.upf
I 126.90 I.upf
CELL_PARAMETERS angstrom
5.787 0.000 0.000
0.000 5.787 0.000
0.000 0.000 6.157
ATOMIC_POSITIONS crystal
Sr 0.000 0.000 0.000
Ir 0.500 0.500 0.500
Au 0.000 0.500 0.000
Au 0.500 0.000 0.000
I 0.000 0.000 0.500
```


This record from Alexandria via LeMat-Bulk describes a relaxed BaGa2TeS6 crystal. The functional is PBE. Values from VASP.

Formation energy (no corrections) = -0.662 eV per atom

Cell and atoms, written as Quantum ESPRESSO input:
```
&SYSTEM
  ibrav = 0, nat = 20, ntyp = 4
/
ATOMIC_SPECIES
Ba 137.33 Ba.upf
Ga 69.72 Ga.upf
Te 127.60 Te.upf
S 32.06 S.upf
CELL_PARAMETERS angstrom
7.176 -5.187 0.000
7.176 5.187 0.000
-3.714 0.000 7.151
ATOMIC_POSITIONS crystal
Ba 0.216 0.784 0.750
Ba 0.784 0.216 0.250
Ga 0.196 0.360 0.852
Ga 0.360 0.196 0.352
Ga 0.640 0.804 0.648
Ga 0.804 0.640 0.148
Te 0.246 0.754 0.250
Te 0.754 0.246 0.750
S 0.008 0.183 0.656
S 0.059 0.630 0.914
S 0.183 0.008 0.156
S 0.309 0.378 0.629
S 0.370 0.941 0.586
S 0.378 0.309 0.129
S 0.622 0.691 0.871
S 0.630 0.059 0.414
S 0.691 0.622 0.371
S 0.817 0.992 0.844
S 0.941 0.370 0.086
S 0.992 0.817 0.344
```


This record from Alexandria via LeMat-Bulk describes a relaxed SrAgAsO4 crystal. The functional is PBE. Values from VASP.

Formation energy (no corrections) = -1.573 eV per atom

Cell and atoms, written as Quantum ESPRESSO input:
```
&SYSTEM
  ibrav = 0, nat = 14, ntyp = 4
/
ATOMIC_SPECIES
Sr 87.62 Sr.upf
Ag 107.87 Ag.upf
As 74.92 As.upf
O 16.00 O.upf
CELL_PARAMETERS angstrom
-3.049 4.067 4.356
3.049 -4.067 4.356
3.049 4.067 -4.356
ATOMIC_POSITIONS crystal
Sr 0.000 0.000 0.000
Sr 0.500 0.000 0.500
Ag 0.500 0.000 0.000
Ag 0.500 0.500 0.500
As 0.138 0.388 0.750
As 0.862 0.612 0.250
O 0.141 0.712 0.429
O 0.216 0.288 0.929
O 0.256 0.269 0.513
O 0.256 0.744 0.987
O 0.744 0.256 0.013
O 0.744 0.731 0.487
O 0.784 0.712 0.071
O 0.859 0.288 0.571
```


This record from Alexandria via LeMat-Bulk describes a relaxed Ba2HgBCl crystal. The functional is PBE. Values from VASP.

Formation energy (no corrections) = -0.314 eV per atom

Cell and atoms, written as Quantum ESPRESSO input:
```
&SYSTEM
  ibrav = 0, nat = 5, ntyp = 4
/
ATOMIC_SPECIES
Ba 137.33 Ba.upf
Hg 200.59 Hg.upf
B 10.81 B.upf
Cl 35.45 Cl.upf
CELL_PARAMETERS angstrom
6.468 0.000 0.000
0.000 6.468 0.000
0.000 0.000 4.186
ATOMIC_POSITIONS crystal
Ba 0.000 0.500 0.000
Ba 0.500 0.000 0.000
Hg 0.000 0.000 0.000
B 0.000 0.000 0.500
Cl 0.500 0.500 0.500
```